DFT (PBE) results for Y2GeHPd after structural relaxation.

Cell lengths 4.8880, 4.8880, 3.8170 Å; angles 90.00, 90.00, 90.00 degrees
Space group P4/mmm (No. 123)
One atom of each set of equivalent atoms:
Y: 0.0000 0.5000 0.0000 [2 per cell]
Ge: 0.0000 0.0000 0.5000 [1 per cell]
H: 0.5000 0.5000 0.0000 [1 per cell]
Pd: 0.5000 0.5000 0.5000 [1 per cell]

Computed properties:
D(E_F)	3.16	states/eV per cell
total magnetic moment	0.30	Bohr magnetons per cell
uncorrected energy	-29.58	eV per cell